P) {"formula": "SrCaHg", "functional": "PBE-GGA", "state": "optimized geometry", "lattice_angstrom": [[-2.854, -2.471, -3.852], [3.907, -2.667, 2.591], [-2.945, -1.352, 3.050]], "species": ["Hg", "Sr", "Ca"], "frac_coords": [[0.667, 0.333, 0.206], [0.333, 0.667, 0.649], [0.000, 0.000, 0.145]], "dos_ef_per_ev_fu": 3.52, "total_magnetization_mub_per_atom": 0.00, "crystal_system": "trigonal"}

=====

Q) {"formula": "SrCaHg", "functional": "PBE-GGA", "state": "optimized geometry", "lattice_angstrom": [[-1.667, 2.261, -2.801], [3.447, -2.525, -4.091], [-5.474, -7.499, 0.015]], "species": ["Hg", "Ca", "Hg", "Sr", "Ca", "Sr"], "frac_coords": [[0.419, 0.750, 0.839], [0.782, 0.750, 0.565], [0.581, 0.250, 0.161], [0.925, 0.250, 0.850], [0.218, 0.250, 0.435], [0.075, 0.750, 0.150]], "dos_ef_per_ev_fu": 2.44, "total_magnetization_mub_per_atom": 0.00, "crystal_system": "orthorhombic"}

=====

Relative to the most stable one, in meV per atom, the structures come out at P) 113; Q) 0.

=====

P) {"formula": "SrCaHg", "functional": "PBE-GGA", "state": "optimized geometry", "lattice_angstrom": [[-6.748, 2.030, -2.313], [-7.182, 1.093, 1.493], [-0.312, 3.826, 0.907]], "species": ["Sr", "Hg", "Ca"], "frac_coords": [[0.692, 0.692, 0.308], [0.342, 0.342, 0.658], [0.966, 0.966, 0.034]], "dos_ef_per_ev_fu": 2.43, "total_magnetization_mub_per_atom": 0.00, "crystal_system": "tetragonal"}

=====

Q) {"formula": "SrCaHg", "functional": "PBE-GGA", "state": "optimized geometry", "lattice_angstrom": [[5.574, 0.000, 0.000], [2.787, 4.827, 0.000], [2.787, 1.609, 4.551]], "species": ["Hg", "Ca", "Sr"], "frac_coords": [[0.500, 0.500, 0.500], [0.000, 0.000, 0.000], [0.750, 0.750, 0.750]], "dos_ef_per_ev_fu": 4.67, "total_magnetization_mub_per_atom": 0.00, "crystal_system": "cubic"}

=====

Relative to the most stable one, in meV per atom, the structures come out at P) 0; Q) 592.

=====

P) {"formula": "SrCa2Hg6", "functional": "PBE-GGA", "state": "optimized geometry", "lattice_angstrom": [[3.957, 0.000, 0.000], [1.979, 8.652, 1.193], [1.979, 3.627, 7.945]], "species": ["Hg", "Hg", "Ca", "Hg", "Hg", "Ca", "Hg", "Sr", "Hg"], "frac_coords": [[0.177, 0.502, 0.144], [0.000, 0.176, 0.824], [0.639, 0.861, 0.861], [0.177, 0.144, 0.502], [0.000, 0.824, 0.176], [0.361, 0.139, 0.139], [0.823, 0.498, 0.856], [0.500, 0.500, 0.500], [0.823, 0.856, 0.498]], "dos_ef_per_ev_fu": 5.90, "total_magnetization_mub_per_atom": 0.00, "crystal_system": "orthorhombic"}

=====

Q) {"formula": "SrCa2Hg6", "functional": "PBE-GGA", "state": "optimized geometry", "lattice_angstrom": [[3.684, 0.000, 0.000], [0.000, 7.574, -4.373], [0.000, 0.000, 8.746]], "species": ["Sr", "Hg", "Ca", "Hg", "Hg", "Ca", "Hg", "Hg", "Hg"], "frac_coords": [[0.000, 0.000, 0.000], [0.500, 0.336, 0.336], [0.000, 0.667, 0.333], [0.500, 0.664, 0.000], [0.500, 0.336, 0.000], [0.000, 0.333, 0.667], [0.500, 0.000, 0.664], [0.500, 0.664, 0.664], [0.500, 0.000, 0.336]], "dos_ef_per_ev_fu": 4.90, "total_magnetization_mub_per_atom": 0.00, "crystal_system": "hexagonal"}

=====

Relative to the most stable one, in meV per atom, the structures come out at P) 27; Q) 0.

=====

P) {"formula": "SrCaHg6", "functional": "PBE-GGA", "state": "optimized geometry", "lattice_angstrom": [[-3.525, 3.894, 0.710], [-4.242, -3.042, -4.376], [-0.328, -1.507, 6.635]], "species": ["Hg", "Hg", "Hg", "Hg", "Hg", "Hg", "Sr", "Ca"], "frac_coords": [[0.500, 0.422, 0.087], [0.000, 0.593, 0.933], [0.500, 0.913, 0.578], [0.500, 0.915, 0.085], [0.000, 0.067, 0.407], [0.000, 0.590, 0.410], [0.500, 0.415, 0.585], [0.000, 0.085, 0.915]], "dos_ef_per_ev_fu": 3.36, "total_magnetization_mub_per_atom": 0.00, "crystal_system": "orthorhombic"}

=====

Q) {"formula": "SrCaHg6", "functional": "PBE-GGA", "state": "optimized geometry", "lattice_angstrom": [[5.381, 0.000, 0.000], [0.000, 5.726, 0.000], [0.000, 0.000, 6.896]], "species": ["Hg", "Hg", "Hg", "Ca", "Hg", "Sr", "Hg", "Hg"], "frac_coords": [[0.500, 0.838, 0.740], [0.000, 0.677, 0.500], [0.000, 0.167, 0.738], [0.500, 0.352, 0.500], [0.500, 0.838, 0.260], [0.000, 0.659, 0.000], [0.500, 0.301, 0.000], [0.000, 0.167, 0.262]], "dos_ef_per_ev_fu": 3.40, "total_magnetization_mub_per_atom": 0.00, "crystal_system": "orthorhombic"}

=====

Relative to the most stable one, in meV per atom, the structures come out at P) 0; Q) 10.

=====

P) {"formula": "SrCa4Hg2", "functional": "PBE-GGA", "state": "optimized geometry", "lattice_angstrom": [[-2.824, -1.689, -4.406], [-3.744, -3.997, 0.500], [-9.574, 5.270, 0.686]], "species": ["Ca", "Ca", "Ca", "Hg", "Ca", "Sr", "Hg"], "frac_coords": [[0.701, 0.701, 0.898], [0.087, 0.087, 0.740], [0.913, 0.913, 0.260], [0.398, 0.398, 0.806], [0.299, 0.299, 0.102], [0.500, 0.500, 0.500], [0.602, 0.602, 0.194]], "dos_ef_per_ev_fu": 8.28, "total_magnetization_mub_per_atom": 0.00, "crystal_system": "trigonal"}

=====

Q) {"formula": "SrCa4Hg2", "functional": "PBE-GGA", "state": "optimized geometry", "lattice_angstrom": [[-3.375, 5.583, -2.323], [-4.469, -5.150, -5.882], [-4.166, 0.621, 7.544]], "species": ["Ca", "Hg", "Ca", "Hg", "Ca", "Ca", "Sr", "Ca", "Sr", "Ca", "Hg", "Hg", "Ca", "Ca"], "frac_coords": [[0.001, 0.582, 0.238], [0.250, 0.624, 0.583], [0.501, 0.418, 0.762], [0.250, 0.260, 0.978], [0.750, 0.740, 0.654], [0.750, 0.018, 0.395], [0.250, 0.850, 0.997], [0.999, 0.418, 0.762], [0.750, 0.150, 0.003], [0.250, 0.260, 0.346], [0.750, 0.376, 0.417], [0.750, 0.740, 0.022], [0.250, 0.982, 0.605], [0.499, 0.582, 0.238]], "dos_ef_per_ev_fu": 7.95, "total_magnetization_mub_per_atom": 0.00, "crystal_system": "monoclinic"}

=====

Relative to the most stable one, in meV per atom, the structures come out at P) 117; Q) 0.